## Sr2CaBr2 (PBE-GGA)

Data for a geometry-optimized Sr2CaBr2 structure.

Cell and atoms, written as POSCAR:
```
Sr2CaBr2
1.0
-1.5381 5.0016 -0.3188
-3.2275 -0.7334 4.0656
3.2655 4.1804 6.7265
Sr Ca Br
2 1 2
direct
0.3654 0.3654 0.2692 Sr
0.6346 0.6346 0.7308 Sr
0.0000 0.0000 0.0000 Ca
0.7500 0.2500 0.5000 Br
0.2500 0.7500 0.5000 Br
```

Output
Space group: I4/mmm (139)
Formation energy from raw total energies: -1.081 eV per atom
Energy relative to the lowest polymorph listed for this composition: 0 meV per atom